VASP calculation (SCAN) on a PBEsol-optimized structure of CaZnCr3.

## Properties
Volume   21.5 Å³/atom
Symmetry   Pm-3m, No. 221
ΔE_f   3.43 eV/f.u.
Size of the total moment   13.0 Bohr magnetons per cell
Calculated total energy   -14.980 eV/atom

Unit cell a=4.7576 b=4.7576 c=4.7576 alpha=90.00 beta=90.00 gamma=90.00
Each line ends with the local moment (μB).
Element x y z (fractional)
1 Ca 0.5000 0.5000 0.5000  0.05
2 Cr 0.0000 0.0000 0.5000  3.81
3 Cr 0.5000 0.0000 0.0000  3.81
4 Zn 0.0000 0.0000 0.0000  0.05
5 Cr 0.0000 0.5000 0.0000  3.81

---

VASP calculation (SCAN) on a PBEsol-optimized structure of ReHgSbTe2.

## Properties
Volume   31.9 Å³/atom
Symmetry   P4/mmm, No. 123
Formation energy (no corrections)   1828 meV/atom
Size of the total moment   3.9 Bohr magnetons per cell
Calculated total energy   -48.377 eV/atom

Unit cell a=5.4404 b=5.4404 c=5.3919 alpha=90.00 beta=90.00 gamma=90.00
Each line ends with the local moment (μB).
Element x y z (fractional)
1 Te 0.5000 0.0000 0.0000  -0.13
2 Hg 0.0000 0.0000 0.0000  0.00
3 Re 0.5000 0.5000 0.5000  3.68
4 Sb 0.0000 0.0000 0.5000  -0.24
5 Te 0.0000 0.5000 0.0000  -0.13

---

VASP calculation (SCAN) on a PBEsol-optimized structure of Li3B7O12.

## Properties
Volume   9.4 Å³/atom
Symmetry   P-1, No. 2
Formation energy (no corrections)   -2635 meV/atom
Size of the total moment   0.0 Bohr magnetons per cell
Calculated total energy   -8.724 eV/atom

Unit cell a=6.5018 b=7.8529 c=8.5307 alpha=91.73 beta=104.87 gamma=99.40
Element x y z (fractional)
1 O 0.9384 0.5336 0.7100
2 B 0.0452 0.7109 0.6878
3 O 0.0373 0.8308 0.8186
4 B 0.9067 0.9648 0.7985
5 O 0.5934 0.6126 0.6878
6 O 0.2618 0.0558 0.1073
7 B 0.7857 0.8637 0.5064
8 O 0.0502 0.1377 0.8540
9 B 0.9548 0.2891 0.3122
10 B 0.7507 0.8679 0.0375
11 O 0.7382 0.9442 0.8927
12 O 0.7746 0.9728 0.6318
13 B 0.2143 0.1363 0.4936
14 B 0.2651 0.5028 0.2716
15 O 0.9417 0.7622 0.5265
16 O 0.0616 0.4664 0.2900
17 O 0.9627 0.1692 0.1814
18 O 0.2732 0.7068 0.6914
19 B 0.4420 0.2747 0.7744
20 B 0.6128 0.4254 0.2878
21 O 0.3611 0.1358 0.6416
22 B 0.2493 0.1321 0.9625
23 Li 0.5134 0.0758 0.3068
24 O 0.4066 0.3874 0.3122
25 O 0.7268 0.2932 0.3086
26 Li 0.2187 0.8007 0.0306
27 B 0.7349 0.4972 0.7284
28 O 0.6389 0.8642 0.3584
29 Li 0.4866 0.9242 0.6932
30 O 0.5597 0.8013 0.0706
31 O 0.3161 0.4142 0.7539
32 Li 0.7813 0.1993 0.9694
33 B 0.5580 0.7253 0.2256
34 O 0.6839 0.5858 0.2461
35 O 0.0583 0.2378 0.4735
36 O 0.2254 0.0272 0.3682
37 Li 0.0149 0.3064 0.6849
38 O 0.9498 0.8623 0.1460
39 B 0.0933 0.0352 0.2015
40 O 0.6727 0.3408 0.7860
41 O 0.3273 0.6592 0.2140
42 Li 0.9851 0.6936 0.3151
43 O 0.4403 0.1987 0.9294
44 B 0.3872 0.5746 0.7122

---

VASP calculation (SCAN) on a PBEsol-optimized structure of VIr3.

## Properties
Volume   13.6 Å³/atom
Symmetry   P6_3/mmc, No. 194
ΔE_f   -2.60 eV/f.u.
Size of the total moment   0.0 Bohr magnetons per cell
Calculated total energy   -58.346 eV/atom

Unit cell a=4.3082 b=5.4046 c=5.4046 alpha=120.00 beta=90.00 gamma=90.00
Element x y z (fractional)
1 Ir 0.2500 0.1675 0.3349
2 Ir 0.2500 0.1675 0.8325
3 V 0.7500 0.3333 0.6667
4 Ir 0.2500 0.6651 0.8325
5 Ir 0.7500 0.3349 0.1675
6 Ir 0.7500 0.8325 0.6651
7 Ir 0.7500 0.8325 0.1675
8 V 0.2500 0.6667 0.3333

---

VASP calculation (SCAN) on a PBEsol-optimized structure of Li2Cu5F12.

## Properties
Volume   10.6 Å³/atom
Symmetry   P2/c, No. 13
Formation energy (no corrections)   -2035 meV/atom
Size of the total moment   10.0 Bohr magnetons per cell
Calculated total energy   -8.523 eV/atom

Unit cell a=6.5876 b=6.7160 c=9.1325 alpha=90.00 beta=90.00 gamma=88.58
Each line ends with the local moment (μB).
Element x y z (fractional)
1 Li 0.2500 0.2500 0.8473  0.00
2 F 0.8117 0.9960 0.8313  0.11
3 F 0.1883 0.0040 0.1687  0.11
4 F 0.3117 0.4960 0.1687  0.11
5 F 0.5214 0.7998 0.3240  0.04
6 Cu 0.0193 0.4717 0.1645  0.81
7 F 0.9786 0.7002 0.3240  0.04
8 Li 0.0000 0.0000 0.0000  0.00
9 Cu 0.9987 0.0022 0.3315  0.83
10 F 0.0269 0.3034 0.9808  0.04
11 F 0.0214 0.2998 0.6760  0.04
12 F 0.9731 0.6966 0.0192  0.04
13 F 0.9822 0.6981 0.6599  0.10
14 F 0.4731 0.1966 0.9808  0.04
15 F 0.7886 0.0224 0.1713  0.07
16 F 0.5269 0.8034 0.0192  0.04
17 F 0.6883 0.5040 0.8313  0.11
18 Cu 0.4987 0.5022 0.6685  0.83
19 Cu 0.0000 0.5000 0.5000  0.80
20 F 0.6965 0.4855 0.4989  0.10
21 F 0.2114 0.9776 0.8287  0.07
22 F 0.7114 0.4776 0.1713  0.07
23 Li 0.7500 0.7500 0.1527  0.00
24 F 0.3035 0.5145 0.5011  0.10
25 Cu 0.5013 0.4978 0.3315  0.83
26 Cu 0.9807 0.5283 0.8355  0.81
27 Cu 0.5000 0.0000 0.5000  0.80
28 Li 0.5000 0.5000 0.0000  0.00
29 F 0.4786 0.2002 0.6760  0.04
30 F 0.2886 0.5224 0.8287  0.07
31 F 0.4822 0.1981 0.3401  0.10
32 F 0.5178 0.8019 0.6599  0.10
33 Cu 0.4807 0.0283 0.1645  0.81
34 F 0.0178 0.3019 0.3401  0.10
35 Cu 0.0013 0.9978 0.6685  0.83
36 F 0.8035 0.0145 0.4989  0.10
37 Cu 0.5193 0.9717 0.8355  0.81
38 F 0.1965 0.9855 0.5011  0.10

---

VASP calculation (SCAN) on a PBEsol-optimized structure of Cs2SnBi2.

## Properties
Volume   41.3 Å³/atom
Symmetry   P4/mbm, No. 127
ΔE_f   -1.55 eV/f.u.
Size of the total moment   0.0 Bohr magnetons per cell
Calculated total energy   -54.051 eV/atom

Unit cell a=6.2548 b=8.1237 c=8.1237 alpha=90.00 beta=90.00 gamma=90.00
Element x y z (fractional)
1 Cs 0.5000 0.6742 0.8258
2 Bi 0.0000 0.1316 0.3684
3 Cs 0.5000 0.3258 0.1742
4 Sn 0.0000 0.5000 0.5000
5 Bi 0.0000 0.6316 0.1316
6 Sn 0.0000 0.0000 0.0000
7 Cs 0.5000 0.1742 0.6742
8 Bi 0.0000 0.8684 0.6316
9 Cs 0.5000 0.8258 0.3258
10 Bi 0.0000 0.3684 0.8684

---

Repeat the fifth record exactly.
VASP calculation (SCAN) on a PBEsol-optimized structure of Li2Cu5F12.

## Properties
Volume   10.6 Å³/atom
Symmetry   P2/c, No. 13
Formation energy (no corrections)   -2035 meV/atom
Size of the total moment   10.0 Bohr magnetons per cell
Calculated total energy   -8.523 eV/atom

Unit cell a=6.5876 b=6.7160 c=9.1325 alpha=90.00 beta=90.00 gamma=88.58
Each line ends with the local moment (μB).
Element x y z (fractional)
1 Li 0.2500 0.2500 0.8473  0.00
2 F 0.8117 0.9960 0.8313  0.11
3 F 0.1883 0.0040 0.1687  0.11
4 F 0.3117 0.4960 0.1687  0.11
5 F 0.5214 0.7998 0.3240  0.04
6 Cu 0.0193 0.4717 0.1645  0.81
7 F 0.9786 0.7002 0.3240  0.04
8 Li 0.0000 0.0000 0.0000  0.00
9 Cu 0.9987 0.0022 0.3315  0.83
10 F 0.0269 0.3034 0.9808  0.04
11 F 0.0214 0.2998 0.6760  0.04
12 F 0.9731 0.6966 0.0192  0.04
13 F 0.9822 0.6981 0.6599  0.10
14 F 0.4731 0.1966 0.9808  0.04
15 F 0.7886 0.0224 0.1713  0.07
16 F 0.5269 0.8034 0.0192  0.04
17 F 0.6883 0.5040 0.8313  0.11
18 Cu 0.4987 0.5022 0.6685  0.83
19 Cu 0.0000 0.5000 0.5000  0.80
20 F 0.6965 0.4855 0.4989  0.10
21 F 0.2114 0.9776 0.8287  0.07
22 F 0.7114 0.4776 0.1713  0.07
23 Li 0.7500 0.7500 0.1527  0.00
24 F 0.3035 0.5145 0.5011  0.10
25 Cu 0.5013 0.4978 0.3315  0.83
26 Cu 0.9807 0.5283 0.8355  0.81
27 Cu 0.5000 0.0000 0.5000  0.80
28 Li 0.5000 0.5000 0.0000  0.00
29 F 0.4786 0.2002 0.6760  0.04
30 F 0.2886 0.5224 0.8287  0.07
31 F 0.4822 0.1981 0.3401  0.10
32 F 0.5178 0.8019 0.6599  0.10
33 Cu 0.4807 0.0283 0.1645  0.81
34 F 0.0178 0.3019 0.3401  0.10
35 Cu 0.0013 0.9978 0.6685  0.83
36 F 0.8035 0.0145 0.4989  0.10
37 Cu 0.5193 0.9717 0.8355  0.81
38 F 0.1965 0.9855 0.5011  0.10

---

Question: Among the records above, which one has the lowest volume?
Answer: Li3B7O12